(1)
TlAgRu2: optimized geometry, GGA-PBE.

Summary:
- Spin magnetization: 0.96 μB per formula unit
- Energy of formation from the pure elements: 2.50 eV per formula unit
- Energy above the most stable polymorph in this dataset: 1.02 eV per formula unit

Cell: 2.945 4.807 9.854 Å, 90.00 90.00 90.00°
Space group Imm2 (No. 44)
Inequivalent atoms, fractional coordinates:
1 Tl 0.000 0.000 0.000
2 Ag 0.000 0.500 0.227
3 Ru 0.000 0.000 0.465
4 Ru 0.000 0.500 0.755



(2)
TlAgRu2: optimized geometry, GGA-PBE.

Summary:
- Spin magnetization: 0.00 μB per formula unit
- Energy of formation from the pure elements: 4.27 eV per formula unit
- Energy above the most stable polymorph in this dataset: 2.79 eV per formula unit

Cell: 7.529 7.529 5.271 Å, 90.00 90.00 90.00°
Space group I-42d (No. 122)
Inequivalent atoms, fractional coordinates:
1 Tl 0.000 0.000 0.000
2 Ag 0.000 0.000 0.500
3 Ru 0.250 0.250 0.125



(3)
TlAgRu2: optimized geometry, GGA-PBE.

Summary:
- Spin magnetization: 1.34 μB per formula unit
- Energy of formation from the pure elements: 2.78 eV per formula unit
- Energy above the most stable polymorph in this dataset: 1.30 eV per formula unit

Cell: 2.963 4.809 4.809 Å, 90.00 90.00 90.00°
Space group Pmmm (No. 47)
Inequivalent atoms, fractional coordinates:
1 Tl 0.000 0.000 0.000
2 Ag 0.500 0.000 0.500
3 Ru 0.000 0.500 0.500
4 Ru 0.500 0.500 0.000



(4)
TlAg3Ru: optimized geometry, GGA-PBE.

Summary:
- Spin magnetization: 2.09 μB per formula unit
- Energy of formation from the pure elements: 5.19 eV per formula unit
- Energy above the most stable polymorph in this dataset: 0.00 eV per formula unit

Cell: 5.146 5.146 5.146 Å, 90.00 90.00 90.00°
Space group Pm-3m (No. 221)
Inequivalent atoms, fractional coordinates:
1 Tl 0.000 0.000 0.000
2 Ag 0.000 0.500 0.500
3 Ru 0.500 0.500 0.500



(5)
Tl2AgRu2: optimized geometry, GGA-PBE.

Summary:
- Spin magnetization: 0.00 μB per formula unit
- Energy of formation from the pure elements: 3.69 eV per formula unit
- Energy above the most stable polymorph in this dataset: 1.14 eV per formula unit

Cell: 5.181 5.181 8.040 Å, 90.00 90.00 90.00°
Space group I4/mmm (No. 139)
Inequivalent atoms, fractional coordinates:
1 Tl 0.000 0.500 0.250
2 Ag 0.000 0.000 0.000
3 Ru 0.000 0.000 0.359



(6)
TlAgRu2: optimized geometry, GGA-PBE.

Summary:
- Spin magnetization: 0.97 μB per formula unit
- Energy of formation from the pure elements: 2.97 eV per formula unit
- Energy above the most stable polymorph in this dataset: 1.48 eV per formula unit

Cell: 2.9338 2.9338 27.5500 Å, 90.00 90.00 120.00°
Space group R-3m (No. 166, hexagonal axes)
Inequivalent atoms, fractional coordinates:
1 Tl 0.0000 0.0000 0.0000
2 Ag 0.0000 0.0000 0.5000
3 Ru 0.0000 0.0000 0.2498



(7)
TlAgRu2: optimized geometry, GGA-PBE.

Summary:
- Spin magnetization: 1.43 μB per formula unit
- Energy of formation from the pure elements: 2.54 eV per formula unit
- Energy above the most stable polymorph in this dataset: 1.06 eV per formula unit

Cell: 9.443 2.934 5.053 Å, 90.00 101.63 90.00°
Space group C2/m (No. 12)
Inequivalent atoms, fractional coordinates:
1 Tl 0.000 0.000 0.000
2 Ag 0.000 0.500 0.500
3 Ru 0.248 0.500 0.276



(8)
TlAgRu2: optimized geometry, GGA-PBE.

Summary:
- Spin magnetization: 3.17 μB per formula unit
- Energy of formation from the pure elements: 2.76 eV per formula unit
- Energy above the most stable polymorph in this dataset: 1.28 eV per formula unit

Cell: 4.047 4.047 4.222 Å, 90.00 90.00 90.00°
Space group P4/mmm (No. 123)
Inequivalent atoms, fractional coordinates:
1 Tl 0.000 0.000 0.000
2 Ag 0.500 0.500 0.000
3 Ru 0.000 0.500 0.500



(9)
TlAgRu2: optimized geometry, GGA-PBE.

Summary:
- Spin magnetization: 2.89 μB per formula unit
- Energy of formation from the pure elements: 3.15 eV per formula unit
- Energy above the most stable polymorph in this dataset: 1.67 eV per formula unit

Cell: 2.962 2.962 7.880 Å, 90.00 90.00 90.00°
Space group P4/mmm (No. 123)
Inequivalent atoms, fractional coordinates:
1 Tl 0.000 0.000 0.000
2 Ag 0.000 0.000 0.500
3 Ru 0.500 0.500 0.257



(10)
TlAgRu2: optimized geometry, GGA-PBE.

Summary:
- Spin magnetization: 0.00 μB per formula unit
- Energy of formation from the pure elements: 1.48 eV per formula unit
- Energy above the most stable polymorph in this dataset: 0.00 eV per formula unit

Cell: 2.905 2.905 8.321 Å, 90.00 90.00 90.00°
Space group P4mm (No. 99)
Inequivalent atoms, fractional coordinates:
1 Tl 0.000 0.000 0.000
2 Ag 0.500 0.500 0.297
3 Ru 0.000 0.000 0.548
4 Ru 0.500 0.500 0.734



(11)
TlAgRu2: optimized geometry, GGA-PBE.

Summary:
- Spin magnetization: 2.89 μB per formula unit
- Energy of formation from the pure elements: 2.94 eV per formula unit
- Energy above the most stable polymorph in this dataset: 1.46 eV per formula unit

Cell: 2.940 4.138 5.685 Å, 90.00 90.00 90.00°
Space group Pmmm (No. 47)
Inequivalent atoms, fractional coordinates:
1 Tl 0.000 0.000 0.000
2 Ag 0.000 0.000 0.500
3 Ru 0.500 0.500 0.259



(12)
TlAgRu2: optimized geometry, GGA-PBE.

Summary:
- Spin magnetization: 2.98 μB per formula unit
- Energy of formation from the pure elements: 2.89 eV per formula unit
- Energy above the most stable polymorph in this dataset: 1.40 eV per formula unit

Cell: 5.668 8.274 2.955 Å, 90.00 90.00 90.00°
Space group Cmmm (No. 65)
Inequivalent atoms, fractional coordinates:
1 Tl 0.000 0.000 0.000
2 Ag 0.000 0.500 0.000
3 Ru 0.250 0.250 0.500



(13)
TlAgRu2: optimized geometry, GGA-PBE.

Summary:
- Spin magnetization: 0.65 μB per formula unit
- Energy of formation from the pure elements: 2.72 eV per formula unit
- Energy above the most stable polymorph in this dataset: 1.24 eV per formula unit

Cell: 6.478 6.478 6.478 Å, 90.00 90.00 90.00°
Space group F-43m (No. 216)
Inequivalent atoms, fractional coordinates:
1 Tl 0.000 0.000 0.000
2 Ag 0.250 0.250 0.250
3 Ru 0.000 0.000 0.500
4 Ru 0.250 0.250 0.750



(14)
Tl2AgRu2: optimized geometry, GGA-PBE.

Summary:
- Spin magnetization: 0.01 μB per formula unit
- Energy of formation from the pure elements: 2.54 eV per formula unit
- Energy above the most stable polymorph in this dataset: 0.00 eV per formula unit

Cell: 6.887 6.887 4.108 Å, 90.00 90.00 90.00°
Space group P4/mbm (No. 127)
Inequivalent atoms, fractional coordinates:
1 Tl 0.176 0.324 0.000
2 Ag 0.000 0.000 0.500
3 Ru 0.125 0.625 0.500



(15)
TlAgRu2: optimized geometry, GGA-PBE.

Summary:
- Spin magnetization: 0.71 μB per formula unit
- Energy of formation from the pure elements: 2.55 eV per formula unit
- Energy above the most stable polymorph in this dataset: 1.06 eV per formula unit

Cell: 4.152 4.152 7.806 Å, 90.00 90.00 90.00°
Space group I-4m2 (No. 119)
Inequivalent atoms, fractional coordinates:
1 Tl 0.000 0.000 0.000
2 Ag 0.000 0.500 0.750
3 Ru 0.000 0.000 0.500
4 Ru 0.000 0.500 0.250



(16)
TlAgRu3: optimized geometry, GGA-PBE.

Summary:
- Spin magnetization: 5.48 μB per formula unit
- Energy of formation from the pure elements: 10.41 eV per formula unit
- Energy above the most stable polymorph in this dataset: 0.00 eV per formula unit

Cell: 4.860 4.860 4.860 Å, 90.00 90.00 90.00°
Space group Pm-3m (No. 221)
Inequivalent atoms, fractional coordinates:
1 Tl 0.000 0.000 0.000
2 Ag 0.500 0.500 0.500
3 Ru 0.000 0.500 0.500



(17)
Tl4AgRu: optimized geometry, GGA-PBE.

Summary:
- Spin magnetization: 1.84 μB per formula unit
- Energy of formation from the pure elements: 5.48 eV per formula unit

Cell: 8.641 8.641 8.641 Å, 90.00 90.00 90.00°
Space group F-43m (No. 216)
Inequivalent atoms, fractional coordinates:
1 Tl 0.125 0.125 0.125
2 Ag 0.250 0.250 0.750
3 Ru 0.000 0.000 0.500



(18)
TlAgRu2: optimized geometry, GGA-PBE.

Summary:
- Spin magnetization: 0.00 μB per formula unit
- Energy of formation from the pure elements: 2.34 eV per formula unit
- Energy above the most stable polymorph in this dataset: 0.85 eV per formula unit

Cell: 4.279 2.926 11.305 Å, 90.00 90.00 90.00°
Space group Amm2 (No. 38)
Inequivalent atoms, fractional coordinates:
1 Tl 0.000 0.000 0.000
2 Ag 0.500 0.000 0.640
3 Ru 0.000 0.000 0.262
4 Ru 0.500 0.000 0.363



(19)
TlAg4Ru: optimized geometry, GGA-PBE.

Summary:
- Spin magnetization: 1.68 μB per formula unit
- Energy of formation from the pure elements: 3.43 eV per formula unit

Cell: 7.744 7.744 7.744 Å, 90.00 90.00 90.00°
Space group F-43m (No. 216)
Inequivalent atoms, fractional coordinates:
1 Tl 0.000 0.000 0.000
2 Ag 0.125 0.125 0.625
3 Ru 0.250 0.250 0.250



(20)
TlVAg2Ru: optimized geometry, GGA-PBE.

Summary:
- Spin magnetization: 0.60 μB per formula unit
- Energy of formation from the pure elements: 7.99 eV per formula unit
- Energy above the most stable polymorph in this dataset: 0.00 eV per formula unit

Cell: 5.050 5.050 5.071 Å, 90.00 90.00 90.00°
Space group P4/mmm (No. 123)
Inequivalent atoms, fractional coordinates:
1 Tl 0.000 0.000 0.000
2 V 0.500 0.500 0.000
3 Ag 0.000 0.500 0.500
4 Ru 0.000 0.000 0.500